# 1
Below is a geometry-optimized Cs5Re6S8Cl7 structure, with properties calculated at the GGA-PBE level.

- E_form (uncorrected) (meV/atom) = -1171
- total moment (μB/f.u.) = 0.00

Cell lengths 19.256, 19.256, 19.256 Å; angles 30.50, 30.50, 30.50 degrees
Atoms (fractional coordinates):
Cs (0.000, 0.000, 0.000)
Cs (0.085, 0.783, 0.405)
Cs (0.174, 0.174, 0.174)
Cs (0.283, 0.585, 0.905)
Cs (0.405, 0.085, 0.783)
Cs (0.500, 0.500, 0.500)
Cs (0.585, 0.905, 0.283)
Cs (0.674, 0.674, 0.674)
Cs (0.783, 0.405, 0.085)
Cs (0.905, 0.283, 0.585)
Re (0.189, 0.483, 0.292)
Re (0.199, 0.389, 0.493)
Re (0.292, 0.189, 0.483)
Re (0.389, 0.493, 0.199)
Re (0.483, 0.292, 0.189)
Re (0.493, 0.199, 0.389)
Re (0.689, 0.792, 0.983)
Re (0.699, 0.993, 0.889)
Re (0.792, 0.983, 0.689)
Re (0.889, 0.699, 0.993)
Re (0.983, 0.689, 0.792)
Re (0.993, 0.889, 0.699)
S (0.025, 0.376, 0.568)
S (0.068, 0.876, 0.525)
S (0.113, 0.658, 0.305)
S (0.158, 0.613, 0.805)
S (0.287, 0.287, 0.287)
S (0.305, 0.113, 0.658)
S (0.376, 0.568, 0.025)
S (0.395, 0.395, 0.395)
S (0.525, 0.068, 0.876)
S (0.568, 0.025, 0.376)
S (0.613, 0.805, 0.158)
S (0.658, 0.305, 0.113)
S (0.787, 0.787, 0.787)
S (0.805, 0.158, 0.613)
S (0.876, 0.525, 0.068)
S (0.895, 0.895, 0.895)
Cl (0.008, 0.455, 0.695)
Cl (0.109, 0.109, 0.109)
Cl (0.172, 0.492, 0.722)
Cl (0.195, 0.955, 0.508)
Cl (0.222, 0.992, 0.672)
Cl (0.455, 0.695, 0.008)
Cl (0.492, 0.722, 0.172)
Cl (0.508, 0.195, 0.955)
Cl (0.609, 0.609, 0.609)
Cl (0.672, 0.222, 0.992)
Cl (0.695, 0.008, 0.455)
Cl (0.722, 0.172, 0.492)
Cl (0.955, 0.508, 0.195)
Cl (0.992, 0.672, 0.222)

=====

# 2
Below is a geometry-optimized Ag8Pb structure, with properties calculated at the GGA-PBE level.

- calculated total energy (eV/atom) = -2.883
- total moment (μB/f.u.) = 0.00

Cell lengths 6.674, 6.674, 6.674 Å; angles 95.99, 95.99, 142.31 degrees
Atoms (fractional coordinates):
Ag (0.000, 0.339, 0.339)
Ag (0.000, 0.661, 0.661)
Ag (0.327, 0.327, 0.654)
Ag (0.327, 0.673, 0.000)
Ag (0.339, 0.000, 0.339)
Ag (0.661, 0.000, 0.661)
Ag (0.673, 0.327, 0.000)
Ag (0.673, 0.673, 0.346)
Pb (0.000, 0.000, 0.000)

=====

# 3
Below is a geometry-optimized Pm6In5Pb structure, with properties calculated at the GGA-PBE level.

- total moment (μB/f.u.) = 0.00
- ΔE to the lowest computed polymorph (eV per atom) = 0.010

Cell lengths 9.478, 9.478, 5.477 Å; angles 106.73, 106.73, 120.53 degrees
Atoms (fractional coordinates):
Pm (0.083, 0.416, 0.750)
Pm (0.249, 0.249, 0.249)
Pm (0.416, 0.083, 0.750)
Pm (0.584, 0.917, 0.250)
Pm (0.751, 0.751, 0.751)
Pm (0.917, 0.584, 0.250)
In (0.000, 0.000, 0.500)
In (0.167, 0.833, 0.000)
In (0.331, 0.669, 0.500)
In (0.669, 0.331, 0.500)
In (0.833, 0.167, 0.000)
Pb (0.500, 0.500, 0.000)